No. 1
BaTa2RhC: optimized geometry, PBE.

Values from the calculation:
* energy relative to the elements: 0.58 eV/atom
* symmetry: P4/mmm

```
data_BaTa2RhC
_space_group_name_H-M_alt 'P 1'
_space_group_IT_number 1
_space_group_name_Hall 'P 1'
_cell_length_a 4.259
_cell_length_b 4.259
_cell_length_c 5.620
_cell_angle_alpha 90.00
_cell_angle_beta 90.00
_cell_angle_gamma 90.00
loop_
_atom_site_label
_atom_site_fract_x
_atom_site_fract_y
_atom_site_fract_z
Ba1 0.000 0.000 0.000
Ta1 0.000 0.500 0.500
Ta2 0.500 0.000 0.500
Rh1 0.500 0.500 0.000
C1 0.000 0.000 0.500
```

---

No. 2
ZnSnO3: optimized geometry, PBE.

Values from the calculation:
* formation energy from raw total energies: -7.38 eV per formula unit
* symmetry: Pnma

```
data_ZnSnO3
_space_group_name_H-M_alt 'P 1'
_space_group_IT_number 1
_space_group_name_Hall 'P 1'
_cell_length_a 5.387
_cell_length_b 7.935
_cell_length_c 5.381
_cell_angle_alpha 90.00
_cell_angle_beta 90.00
_cell_angle_gamma 90.00
loop_
_atom_site_label
_atom_site_fract_x
_atom_site_fract_y
_atom_site_fract_z
Zn1 0.028 0.250 0.009
Zn2 0.472 0.750 0.509
Zn3 0.528 0.250 0.491
Zn4 0.972 0.750 0.991
Sn1 0.000 0.000 0.500
Sn2 0.000 0.500 0.500
Sn3 0.500 0.000 0.000
Sn4 0.500 0.500 0.000
O1 0.094 0.750 0.626
O2 0.172 0.570 0.168
O3 0.172 0.930 0.168
O4 0.328 0.070 0.668
O5 0.328 0.430 0.668
O6 0.406 0.250 0.126
O7 0.594 0.750 0.874
O8 0.672 0.570 0.332
O9 0.672 0.930 0.332
O10 0.828 0.070 0.832
O11 0.828 0.430 0.832
O12 0.906 0.250 0.374
```

---

No. 3
Na5B7C3: optimized geometry, PBE.

Values from the calculation:
* energy relative to the elements: 0.13 eV/atom
* symmetry: Amm2

```
data_Na5B7C3
_space_group_name_H-M_alt 'P 1'
_space_group_IT_number 1
_space_group_name_Hall 'P 1'
_cell_length_a 8.557
_cell_length_b 12.909
_cell_length_c 12.909
_cell_angle_alpha 12.61
_cell_angle_beta 90.00
_cell_angle_gamma 90.00
loop_
_atom_site_label
_atom_site_fract_x
_atom_site_fract_y
_atom_site_fract_z
Na1 0.246 0.000 0.000
Na2 0.247 0.400 0.400
Na3 0.248 0.200 0.200
Na4 0.249 0.600 0.600
Na5 0.249 0.800 0.800
Na6 0.751 0.600 0.600
Na7 0.751 0.800 0.800
Na8 0.752 0.200 0.200
Na9 0.753 0.400 0.400
Na10 0.754 0.000 0.000
B1 0.000 0.069 0.069
B2 0.000 0.263 0.263
B3 0.000 0.473 0.473
B4 0.000 0.666 0.666
B5 0.000 0.860 0.860
B6 0.000 0.933 0.933
B7 0.500 0.067 0.067
B8 0.500 0.132 0.132
B9 0.500 0.330 0.330
B10 0.500 0.526 0.526
B11 0.500 0.671 0.671
B12 0.500 0.739 0.739
B13 0.500 0.868 0.868
B14 0.500 0.935 0.935
C1 0.000 0.134 0.134
C2 0.000 0.328 0.328
C3 0.000 0.537 0.537
C4 0.000 0.731 0.731
C5 0.500 0.268 0.268
C6 0.500 0.466 0.466
```

---

M_tot, record by record: 0.00, 0.00, 0.00 μB per cell